A PBEsol-optimized structure of HgOsBr2. Source: the Alexandria database, functional meta-GGA SCAN.

Structure (POSCAR):
```
HgOsBr2
1.0
-2.883 -1.943 3.424
-1.271 -4.704 -0.263
1.826 -3.203 3.197
Os Br Hg
1 2 1
direct
0.250 0.250 0.250
0.000 0.000 0.000
0.750 0.750 0.750
0.500 0.500 0.500
```

Computed properties:
D(E_F) (states/eV per cell): 2.608
Formation energy (no corrections) (eV/atom): 1.4565
Offset from the most stable computed form (meV per atom): 1035

A PBEsol-optimized structure of HgOs2Br. Source: the Alexandria database, functional meta-GGA SCAN.

Structure (POSCAR):
```
HgOs2Br
1.0
-0.160 -1.279 2.536
3.619 -3.230 -1.401
1.514 5.164 1.105
Br Os Hg
1 2 1
direct
0.000 0.500 0.000
0.734 0.734 0.469
0.266 0.266 0.531
0.500 0.000 0.000
```

Computed properties:
D(E_F) (states/eV per cell): 4.339
Formation energy (no corrections) (eV/atom): 1.4342

A PBEsol-optimized structure of Hg2P3Br. Source: the Alexandria database, functional meta-GGA SCAN.

Structure (POSCAR):
```
Hg2P3Br
1.0
-1.409 -7.503 -1.693
6.520 -0.187 -4.599
4.842 -2.481 6.965
Hg P Br
8 12 4
direct
0.105 0.285 0.829
0.895 0.785 0.671
0.395 0.715 0.829
0.395 0.785 0.329
0.105 0.215 0.329
0.895 0.715 0.171
0.605 0.215 0.671
0.605 0.285 0.171
0.250 0.500 0.678
0.922 0.385 0.489
0.578 0.885 0.989
0.422 0.115 0.011
0.078 0.615 0.511
0.422 0.385 0.511
0.750 0.500 0.322
0.750 0.000 0.822
0.578 0.615 0.489
0.250 0.000 0.178
0.078 0.885 0.011
0.922 0.115 0.989
0.250 0.500 0.114
0.750 0.000 0.386
0.750 0.500 0.886
0.250 0.000 0.614
```

Computed properties:
Formation energy (no corrections) (eV/atom): -0.1891

A PBEsol-optimized structure of HgP2Br. Source: the Alexandria database, functional meta-GGA SCAN.

Structure (POSCAR):
```
HgP2Br
1.0
-3.458 -2.733 -1.824
0.510 -3.062 3.622
-0.777 4.583 0.843
P Hg Br
2 1 1
direct
0.250 0.750 0.500
0.750 0.250 0.500
0.000 0.000 0.000
0.500 0.500 0.000
```

Computed properties:
D(E_F) (states/eV per cell): 2.179
Formation energy (no corrections) (eV/atom): 1.0326

A PBEsol-optimized structure of HgPBr2. Source: the Alexandria database, functional meta-GGA SCAN.

Structure (POSCAR):
```
HgPBr2
1.0
3.508 0.000 0.000
0.000 4.987 0.041
0.000 -0.043 4.987
Br Hg P
2 1 1
direct
0.000 0.000 0.500
0.000 0.500 0.000
0.500 0.000 0.000
0.500 0.500 0.500
```

Computed properties:
D(E_F) (states/eV per cell): 2.835
Formation energy (no corrections) (eV/atom): 0.6913

A PBEsol-optimized structure of HgPSe2Br. Source: the Alexandria database, functional meta-GGA SCAN.

Structure (POSCAR):
```
HgPSe2Br
1.0
-1.217 -4.661 -0.143
3.859 -1.089 2.673
-2.726 0.584 4.173
Br P Se Hg
1 1 2 1
direct
0.000 0.000 0.500
0.000 0.000 0.000
0.500 0.000 0.000
0.000 0.500 0.000
0.500 0.500 0.500
```

Computed properties:
D(E_F) (states/eV per cell): 1.904
Formation energy (no corrections) (eV/atom): 0.3336

A PBEsol-optimized structure of SnHg7P4Br6. Source: the Alexandria database, functional meta-GGA SCAN.

Structure (POSCAR):
```
SnHg7P4Br6
1.0
12.491 0.000 0.000
0.000 12.491 0.000
0.000 0.000 12.491
Br P Hg Sn
24 16 28 4
direct
0.764 0.316 0.489
0.736 0.684 0.989
0.554 0.300 0.690
0.690 0.554 0.300
0.800 0.810 0.446
0.684 0.989 0.736
0.946 0.700 0.190
0.700 0.190 0.946
0.511 0.264 0.184
0.184 0.511 0.264
0.816 0.011 0.236
0.989 0.736 0.684
0.190 0.946 0.700
0.810 0.446 0.800
0.300 0.690 0.554
0.264 0.184 0.511
0.236 0.816 0.011
0.200 0.310 0.054
0.054 0.200 0.310
0.011 0.236 0.816
0.310 0.054 0.200
0.316 0.489 0.764
0.489 0.764 0.316
0.446 0.800 0.810
0.067 0.567 0.933
0.531 0.469 0.969
0.567 0.933 0.067
0.430 0.570 0.070
0.933 0.067 0.567
0.469 0.969 0.531
0.930 0.930 0.930
0.847 0.347 0.153
0.653 0.653 0.653
0.570 0.070 0.430
0.153 0.847 0.347
0.031 0.031 0.031
0.969 0.531 0.469
0.347 0.153 0.847
0.433 0.433 0.433
0.070 0.430 0.570
0.543 0.543 0.543
0.748 0.934 0.997
0.503 0.252 0.434
0.675 0.398 0.080
0.497 0.752 0.066
0.398 0.080 0.675
0.934 0.997 0.748
0.175 0.102 0.920
0.898 0.420 0.325
0.420 0.325 0.898
0.066 0.497 0.752
0.080 0.675 0.398
0.434 0.503 0.252
0.752 0.066 0.497
0.248 0.566 0.003
0.566 0.003 0.248
0.825 0.602 0.580
0.102 0.920 0.175
0.252 0.434 0.503
0.003 0.248 0.566
0.957 0.457 0.043
0.457 0.043 0.957
0.920 0.175 0.102
0.580 0.825 0.602
0.043 0.957 0.457
0.997 0.748 0.934
0.602 0.580 0.825
0.325 0.898 0.420
0.761 0.239 0.739
0.239 0.739 0.761
0.261 0.261 0.261
0.739 0.761 0.239
```

Computed properties:
D(E_F) (states/eV per cell): 0.000
Formation energy (no corrections) (eV/atom): -0.3764

A PBEsol-optimized structure of HgPb3Br. Source: the Alexandria database, functional meta-GGA SCAN.

Structure (POSCAR):
```
HgPb3Br
1.0
-4.097 -0.948 3.854
3.104 -4.217 2.262
2.473 3.722 3.545
Pb Br Hg
3 1 1
direct
0.000 0.000 0.500
0.000 0.500 0.000
0.500 0.000 0.000
0.500 0.500 0.500
0.000 0.000 0.000
```

Computed properties:
D(E_F) (states/eV per cell): 4.131
Formation energy (no corrections) (eV/atom): 0.2983

A PBEsol-optimized structure of HgPdBr2. Source: the Alexandria database, functional meta-GGA SCAN.

Structure (POSCAR):
```
HgPdBr2
1.0
-1.448 -4.505 1.359
2.540 -3.951 -1.474
2.665 -2.566 3.248
Br Hg Pd
2 1 1
direct
0.250 0.250 0.250
0.750 0.750 0.750
0.500 0.500 0.500
0.000 0.000 0.000
```

Computed properties:
D(E_F) (states/eV per cell): 4.549
Formation energy (no corrections) (eV/atom): 0.2457

A PBEsol-optimized structure of HgPdBr3. Source: the Alexandria database, functional meta-GGA SCAN.

Structure (POSCAR):
```
HgPdBr3
1.0
-4.048 3.489 -0.145
-2.417 -2.640 3.971
2.520 3.073 3.576
Br Hg Pd
3 1 1
direct
0.000 0.000 0.500
0.000 0.500 0.000
0.500 0.000 0.000
0.000 0.000 0.000
0.500 0.500 0.500
```

Computed properties:
D(E_F) (states/eV per cell): 10.859
Formation energy (no corrections) (eV/atom): 0.3725

A PBEsol-optimized structure of Hg2PdBr. Source: the Alexandria database, functional meta-GGA SCAN.

Structure (POSCAR):
```
Hg2PdBr
1.0
4.925 0.000 0.000
2.462 4.265 0.000
2.462 1.422 4.021
Hg Br Pd
2 1 1
direct
0.250 0.250 0.250
0.750 0.750 0.750
0.000 0.000 0.000
0.500 0.500 0.500
```

Computed properties:
D(E_F) (states/eV per cell): 4.101
Formation energy (no corrections) (eV/atom): 0.3304

A PBEsol-optimized structure of HgPtBr2. Source: the Alexandria database, functional meta-GGA SCAN.

Structure (POSCAR):
```
HgPtBr2
1.0
-3.402 -0.959 0.612
-1.563 -2.788 -2.543
0.763 -6.072 5.240
Br Hg Pt
2 1 1
direct
0.957 0.012 0.075
0.769 0.766 0.696
0.508 0.516 0.468
0.266 0.206 0.262
```

Computed properties:
Formation energy (no corrections) (eV/atom): -0.0861

A PBEsol-optimized structure of HgPtBr. Source: the Alexandria database, functional meta-GGA SCAN.

Structure (POSCAR):
```
HgPtBr
1.0
4.558 0.000 0.000
2.279 3.947 0.000
2.279 1.316 3.721
Pt Hg Br
1 1 1
direct
0.250 0.250 0.250
0.500 0.500 0.500
0.000 0.000 0.000
```

Computed properties:
D(E_F) (states/eV per cell): 0.834
Formation energy (no corrections) (eV/atom): 0.3580
Offset from the most stable computed form (meV per atom): 0

A PBEsol-optimized structure of HgPtBr. Source: the Alexandria database, functional meta-GGA SCAN.

Structure (POSCAR):
```
HgPtBr
1.0
-0.304 2.679 -2.016
-2.503 0.192 -2.180
-3.779 4.256 3.414
Hg Br Pt
1 1 1
direct
0.326 0.000 0.349
0.010 0.000 0.980
0.664 0.000 0.671
```

Computed properties:
D(E_F) (states/eV per cell): 1.175
Formation energy (no corrections) (eV/atom): 0.3667
Offset from the most stable computed form (meV per atom): 9

A PBEsol-optimized structure of Rb2HgSBr. Source: the Alexandria database, functional meta-GGA SCAN.

Structure (POSCAR):
```
Rb2HgSBr
1.0
-4.793 -0.671 0.584
0.202 -5.094 -4.199
1.189 -4.105 5.036
Rb Br Hg S
2 1 1 1
direct
0.000 0.000 0.500
0.000 0.500 0.000
0.500 0.500 0.500
0.000 0.000 0.000
0.500 0.000 0.000
```

Computed properties:
D(E_F) (states/eV per cell): 0.462
Formation energy (no corrections) (eV/atom): -0.9166

A PBEsol-optimized structure of RbHgW2Br. Source: the Alexandria database, functional meta-GGA SCAN.

Structure (POSCAR):
```
RbHgW2Br
1.0
-1.088 -5.921 1.148
2.479 0.637 5.635
-5.563 1.465 2.282
W Br Rb Hg
2 1 1 1
direct
0.000 0.000 0.500
0.000 0.500 0.000
0.500 0.500 0.500
0.000 0.000 0.000
0.500 0.000 0.000
```

Computed properties:
D(E_F) (states/eV per cell): 2.578
Formation energy (no corrections) (eV/atom): 3.1297

A PBEsol-optimized structure of RbZnHg2Br. Source: the Alexandria database, functional meta-GGA SCAN.

Structure (POSCAR):
```
RbZnHg2Br
1.0
-4.522 2.837 -3.059
-1.667 -6.080 -3.175
-4.487 -1.505 5.237
Hg Rb Br Zn
2 1 1 1
direct
0.000 0.000 0.500
0.000 0.500 0.000
0.000 0.000 0.000
0.500 0.000 0.000
0.500 0.500 0.500
```

Computed properties:
D(E_F) (states/eV per cell): 0.000
Formation energy (no corrections) (eV/atom): -0.1818

A PBEsol-optimized structure of ReHg2Br. Source: the Alexandria database, functional meta-GGA SCAN.

Structure (POSCAR):
```
ReHg2Br
1.0
-2.963 -3.589 -1.233
-0.324 -1.381 -4.600
1.804 -4.248 -1.371
Hg Br Re
2 1 1
direct
0.000 0.000 0.000
0.750 0.750 0.750
0.500 0.500 0.500
0.250 0.250 0.250
```

Computed properties:
D(E_F) (states/eV per cell): 1.835
Formation energy (no corrections) (eV/atom): 1.3560
Offset from the most stable computed form (meV per atom): 462

A PBEsol-optimized structure of Re2HgBr. Source: the Alexandria database, functional meta-GGA SCAN.

Structure (POSCAR):
```
Re2HgBr
1.0
-3.113 -0.244 -1.874
0.476 -4.728 -0.174
-2.069 -0.377 4.599
Re Hg Br
2 1 1
direct
0.299 0.000 0.154
0.701 0.000 0.846
0.000 0.500 0.000
0.500 0.500 0.500
```

Computed properties:
D(E_F) (states/eV per cell): 2.390
Formation energy (no corrections) (eV/atom): 1.0912
Offset from the most stable computed form (meV per atom): 0

A PBEsol-optimized structure of ReHg2Br. Source: the Alexandria database, functional meta-GGA SCAN.

Structure (POSCAR):
```
ReHg2Br
1.0
2.866 0.000 0.000
0.000 2.866 0.000
0.000 0.000 10.309
Hg Br Re
2 1 1
direct
0.000 0.000 0.202
0.000 0.000 0.798
0.500 0.500 0.500
0.500 0.500 0.000
```

Computed properties:
D(E_F) (states/eV per cell): 2.361
Formation energy (no corrections) (eV/atom): 0.8942
Offset from the most stable computed form (meV per atom): 0